[1]
Density functional theory data (PBE-GGA) for a geometry-optimized VCrP2H structure.

abc: 4.086 3.108 4.086
angles: 90.00 90.00 90.00
Element x y z (fractional)
P 0.000 0.000 0.500
Cr 0.500 0.500 0.500
P 0.500 0.000 0.000
V 0.000 0.500 0.000
H 0.000 0.000 0.000

Properties
density	5.31	g/cm3
electronic total energy	-6.52	eV/atom

=====

[2]
Density functional theory data (PBE-GGA) for a geometry-optimized Tl2CrAu structure.

abc: 3.346 3.346 8.291
angles: 90.00 90.00 90.00
Last column: magnetic moment on the atom in μB.
Element x y z (fractional)
Tl 0.000 0.000 0.957  0.01
Au 0.000 0.000 0.544  0.07
Tl 0.500 0.500 0.281  0.00
Cr 0.500 0.500 0.718  3.66

Properties
density	11.77	g/cm3
energy relative to the lowest polymorph listed for this composition	0.000	eV per atom
ΔH_f (0 K)	0.25	eV per atom
electronic total energy	-4.16	eV/atom

=====

[3]
Density functional theory data (PBE-GGA) for a geometry-optimized Sn2BiF8 structure.

abc: 3.955 5.678 7.555
angles: 109.44 105.17 90.00
Element x y z (fractional)
Sn 0.181 0.677 0.362
F 0.669 0.974 0.339
F 0.331 0.026 0.661
F 0.405 0.567 0.811
F 0.595 0.433 0.189
Sn 0.819 0.323 0.638
F 0.782 0.671 0.564
F 0.966 0.186 0.932
Bi 0.500 0.000 0.000
F 0.034 0.814 0.068
F 0.218 0.329 0.436

Properties
density	6.46	g/cm3
E_form (uncorrected)	-24.5	eV/f.u.
electronic total energy	-4.67	eV/atom

=====

[4]
Density functional theory data (PBE-GGA) for a geometry-optimized Tm8Mg2Cd structure.

abc: 5.475 8.652 8.652
angles: 119.97 102.56 102.56
Element x y z (fractional)
Mg 0.000 0.305 0.695
Tm 0.872 0.900 0.674
Tm 0.500 0.791 0.209
Tm 0.697 0.397 0.397
Tm 0.128 0.100 0.326
Tm 0.500 0.209 0.791
Mg 0.000 0.695 0.305
Tm 0.872 0.674 0.900
Tm 0.303 0.603 0.603
Cd 0.500 0.000 0.000
Tm 0.128 0.326 0.100

Properties
density	7.86	g/cm3
ΔH_f (0 K)	0.12	eV per atom
electronic total energy	-3.50	eV/atom

=====

[5]
Density functional theory data (PBE-GGA) for a geometry-optimized ZnBr structure.

abc: 11.597 11.597 3.604
angles: 90.00 90.00 90.00
Element x y z (fractional)
Br 0.275 0.986 0.500
Zn 0.295 0.821 0.000
Zn 0.179 0.295 0.000
Br 0.486 0.225 0.000
Zn 0.795 0.321 0.500
Br 0.725 0.014 0.500
Br 0.014 0.275 0.500
Zn 0.705 0.179 0.000
Zn 0.821 0.705 0.000
Zn 0.205 0.679 0.500
Br 0.514 0.775 0.000
Br 0.225 0.514 0.000
Zn 0.321 0.205 0.500
Zn 0.679 0.795 0.500
Br 0.775 0.486 0.000
Br 0.986 0.725 0.500

Properties
density	3.98	g/cm3
E_form (uncorrected)	-0.9	eV/f.u.
electronic total energy	-1.91	eV/atom

=====

[6]
Density functional theory data (PBE-GGA) for a geometry-optimized KTlAsPt structure.

abc: 4.236 4.236 7.657
angles: 90.03 106.04 119.98
Element x y z (fractional)
Pt 0.814 0.272 0.086
As 0.510 0.620 0.129
Tl 0.977 0.853 0.830
K 0.391 0.060 0.451

Properties
density	7.56	g/cm3
ΔH_f (0 K)	-0.39	eV per atom
electronic total energy	-3.93	eV/atom